Entry 1:
BaWO4 | meta-GGA SCAN | PBEsol geometry

a = 6.7075 Å, b = 6.7075 Å, c = 6.7075 Å
α = 106.44°, β = 106.44°, γ = 115.72°
Positions (direct):
Ba (0.3750, 0.6250, 0.7500)
Ba (0.6250, 0.3750, 0.2500)
W (0.1250, 0.8750, 0.2500)
W (0.8750, 0.1250, 0.7500)
O (0.1468, 0.7208, 0.4260)
O (0.2052, 0.2792, 0.9260)
O (0.2792, 0.2052, 0.4260)
O (0.2792, 0.8532, 0.0740)
O (0.7208, 0.1468, 0.9260)
O (0.7208, 0.7948, 0.5740)
O (0.7948, 0.7208, 0.0740)
O (0.8532, 0.2792, 0.5740)

- Raw formation energy: -2.778 eV/atom
- Total DFT energy (no corrections): -25.14 eV per atom
- V: 115 Å³/f.u.
- Polymorph energy (0 for the lowest one): 46 meV/atom

***

Entry 2:
Ni2RhW | meta-GGA SCAN | PBEsol geometry

a = 4.5298 Å, b = 4.5298 Å, c = 4.5298 Å
α = 132.54°, β = 132.54°, γ = 69.39°
Positions (direct):
Ni (0.0000, 0.0000, 0.0000)
Ni (0.7500, 0.2500, 0.5000)
Rh (0.2500, 0.7500, 0.5000)
W (0.5000, 0.5000, 0.0000)

- Energy of formation: -0.137 eV per atom
- Total DFT energy (no corrections): -34.09 eV per atom
- V: 50 Å³/f.u.
- Polymorph energy (0 for the lowest one): 0 meV/atom

***

Entry 3:
ReSnPd2Cl | meta-GGA SCAN | PBEsol geometry

a = 4.9012 Å, b = 4.9012 Å, c = 5.0307 Å
α = 90.00°, β = 90.00°, γ = 90.00°
Positions (direct):
Re (0.0000, 0.0000, 0.0000)
Sn (0.5000, 0.5000, 0.5000)
Pd (0.0000, 0.5000, 0.5000)
Pd (0.5000, 0.0000, 0.5000)
Cl (0.5000, 0.5000, 0.0000)

- Raw formation energy: 1.418 eV/atom
- Total DFT energy (no corrections): -34.69 eV per atom
- V: 121 Å³/f.u.